{"formula": "Ru2Se", "functional": "PBE", "state": "relaxed", "lattice": [[-4.855, 1.397, 1.583], [1.516, -5.066, 0.265], [3.252, 1.429, 8.714]], "species": ["Ru", "Ru", "Ru", "Ru", "Ru", "Ru", "Ru", "Ru", "Se", "Se", "Se", "Se"], "frac_coords": [[0.000, 0.000, 0.000], [0.000, 0.000, 0.500], [0.842, 0.685, 0.250], [0.158, 0.315, 0.750], [0.315, 0.158, 0.250], [0.842, 0.158, 0.250], [0.158, 0.842, 0.750], [0.685, 0.842, 0.750], [0.333, 0.667, 0.950], [0.667, 0.333, 0.450], [0.667, 0.333, 0.050], [0.333, 0.667, 0.550]], "final_energy_ev_per_fu": -19.896, "e_form_raw_kcal_per_mol_atoms": 16.5, "spacegroup": "No. 194", "density_g_cm3": 8.17}